ErZn6Ni6: optimized geometry, PBE.

Lattice parameters (Å, degrees): 4.943 6.471 6.471 79.86 67.55 67.55
Atoms (fractional coordinates):
Zn (0.000, 0.342, 0.658)
Ni (0.500, 0.771, 0.229)
Zn (0.301, 0.199, 0.199)
Er (0.000, 0.000, 0.000)
Ni (0.500, 0.500, 0.000)
Zn (0.350, 0.650, 0.650)
Ni (0.500, 0.229, 0.771)
Ni (0.500, 0.000, 0.500)
Zn (0.699, 0.801, 0.801)
Ni (0.000, 0.000, 0.500)
Zn (0.000, 0.658, 0.342)
Ni (0.000, 0.500, 0.000)
Zn (0.650, 0.350, 0.350)

space group	Immm
size of the total moment	0.0	Bohr magnetons per cell

Er4ZnNi: optimized geometry, PBE.

Lattice parameters (Å, degrees): 9.311 9.311 9.311 60.00 60.00 60.00
Atoms (fractional coordinates):
Er (0.809, 0.397, 0.397)
Er (0.397, 0.397, 0.397)
Er (0.559, 0.559, 0.941)
Zn (0.171, 0.487, 0.171)
Er (0.941, 0.559, 0.941)
Ni (0.606, 0.606, 0.606)
Er (0.397, 0.809, 0.397)
Ni (0.606, 0.606, 0.181)
Er (0.559, 0.941, 0.941)
Er (0.814, 0.186, 0.814)
Zn (0.171, 0.171, 0.487)
Er (0.814, 0.186, 0.186)
Er (0.186, 0.814, 0.186)
Ni (0.606, 0.181, 0.606)
Er (0.814, 0.814, 0.186)
Zn (0.171, 0.171, 0.171)
Er (0.941, 0.559, 0.559)
Er (0.186, 0.814, 0.814)
Er (0.186, 0.186, 0.814)
Er (0.941, 0.941, 0.559)
Er (0.397, 0.397, 0.809)
Er (0.559, 0.941, 0.559)
Ni (0.181, 0.606, 0.606)
Zn (0.487, 0.171, 0.171)

space group	F-43m
ΔE to the lowest computed polymorph	0	meV/atom
size of the total moment	0.0	Bohr magnetons per cell

Er2ZnNi7: optimized geometry, PBE.

Lattice parameters (Å, degrees): 3.752 3.752 10.461 90.00 90.00 90.00
Last column: magnetic moment on the atom in μB.
Atoms (fractional coordinates):
Ni (0.000, 0.000, 0.500)  0.18
Ni (0.000, 0.500, 0.855)  0.04
Ni (0.500, 0.500, 0.500)  0.18
Ni (0.500, 0.000, 0.145)  0.04
Ni (0.000, 0.000, 0.000)  0.06
Er (0.500, 0.000, 0.737)  -0.02
Ni (0.000, 0.500, 0.639)  0.10
Zn (0.500, 0.500, 0.000)  0.00
Ni (0.500, 0.000, 0.361)  0.10
Er (0.000, 0.500, 0.263)  -0.02

space group	P-4m2
size of the total moment	0.6	Bohr magnetons per cell

ErZn9Ni2: optimized geometry, PBE.

Lattice parameters (Å, degrees): 6.716 8.055 8.055 79.99 65.36 65.36
Atoms (fractional coordinates):
Zn (0.437, 0.418, 0.824)
Zn (0.000, 0.000, 0.000)
Er (0.250, 0.500, 0.500)
Zn (0.011, 0.918, 0.676)
Zn (0.750, 0.500, 0.500)
Zn (0.071, 0.918, 0.324)
Ni (0.875, 0.250, 0.250)
Zn (0.437, 0.824, 0.418)
Zn (0.739, 0.582, 0.824)
Ni (0.375, 0.750, 0.750)
Zn (0.739, 0.824, 0.582)
Zn (0.011, 0.676, 0.918)
Zn (0.313, 0.082, 0.676)
Zn (0.679, 0.176, 0.582)
Zn (0.071, 0.324, 0.918)
Ni (0.875, 0.750, 0.250)
Zn (0.606, 0.082, 0.324)
Zn (0.679, 0.582, 0.176)
Zn (0.606, 0.324, 0.082)
Er (0.500, 0.000, 0.000)
Zn (0.144, 0.176, 0.418)
Zn (0.144, 0.418, 0.176)
Zn (0.313, 0.676, 0.082)
Ni (0.875, 0.250, 0.750)

space group	I4_1/amd
ΔE to the lowest computed polymorph	0	meV/atom
size of the total moment	0.0	Bohr magnetons per cell

ErZn10Ni2: optimized geometry, PBE.

Lattice parameters (Å, degrees): 6.740 6.740 8.643 90.00 90.00 98.76
Atoms (fractional coordinates):
Zn (0.151, 0.849, 0.901)
Zn (0.140, 0.402, 0.250)
Zn (0.227, 0.227, 0.500)
Er (0.872, 0.128, 0.750)
Ni (0.000, 0.500, 0.000)
Ni (0.000, 0.500, 0.500)
Zn (0.375, 0.625, 0.457)
Zn (0.625, 0.375, 0.543)
Zn (0.598, 0.860, 0.250)
Zn (0.402, 0.140, 0.750)
Zn (0.526, 0.781, 0.750)
Er (0.128, 0.872, 0.250)
Zn (0.781, 0.526, 0.250)
Zn (0.849, 0.151, 0.401)
Zn (0.151, 0.849, 0.599)
Zn (0.860, 0.598, 0.750)
Zn (0.227, 0.227, 0.000)
Zn (0.773, 0.773, 0.000)
Ni (0.500, 0.000, 0.500)
Zn (0.625, 0.375, 0.957)
Ni (0.500, 0.000, 0.000)
Zn (0.773, 0.773, 0.500)
Zn (0.375, 0.625, 0.043)
Zn (0.849, 0.151, 0.099)
Zn (0.219, 0.474, 0.750)
Zn (0.474, 0.219, 0.250)

space group	Cmcm
ΔE to the lowest computed polymorph	0	meV/atom
size of the total moment	0.0	Bohr magnetons per cell

Er12Zn5Ni3: optimized geometry, PBE.

Lattice parameters (Å, degrees): 14.233 14.233 14.233 109.47 109.47 109.47
Atoms (fractional coordinates):
Er (0.400, 0.130, 0.567)
Zn (0.500, 0.000, 0.500)
Er (0.130, 0.730, 0.563)
Zn (0.375, 0.250, 0.125)
Zn (0.000, 0.500, 0.500)
Er (0.130, 0.400, 0.067)
Er (0.167, 0.067, 0.937)
Er (0.437, 0.667, 0.067)
Er (0.230, 0.667, 0.100)
Zn (0.625, 0.875, 0.250)
Er (0.667, 0.437, 0.567)
Ni (0.625, 0.375, 0.750)
Er (0.730, 0.600, 0.167)
Zn (0.750, 0.625, 0.375)
Zn (0.125, 0.750, 0.375)
Ni (0.375, 0.625, 0.250)
Er (0.063, 0.630, 0.730)
Ni (0.750, 0.875, 0.625)
Er (0.230, 0.563, 0.630)
Ni (0.750, 0.375, 0.125)
Ni (0.125, 0.250, 0.875)
Er (0.067, 0.900, 0.130)
Er (0.433, 0.063, 0.333)
Zn (0.500, 0.000, 0.000)
Er (0.870, 0.600, 0.933)
Er (0.667, 0.230, 0.600)
Er (0.270, 0.400, 0.833)
Ni (0.125, 0.875, 0.750)
Er (0.100, 0.167, 0.230)
Er (0.833, 0.933, 0.063)
Er (0.937, 0.370, 0.270)
Zn (0.000, 0.000, 0.000)
Zn (0.375, 0.125, 0.750)
Zn (0.750, 0.125, 0.875)
Zn (0.500, 0.500, 0.500)
Er (0.567, 0.630, 0.400)
Er (0.100, 0.933, 0.370)
Er (0.630, 0.063, 0.230)
Er (0.433, 0.370, 0.600)
Er (0.937, 0.567, 0.167)
Er (0.630, 0.567, 0.900)
Er (0.900, 0.833, 0.770)
Zn (0.875, 0.250, 0.625)
Zn (0.250, 0.875, 0.125)
Zn (0.500, 0.500, 0.000)
Er (0.770, 0.437, 0.370)
Er (0.933, 0.100, 0.870)
Ni (0.625, 0.250, 0.375)
Er (0.167, 0.100, 0.730)
Er (0.600, 0.870, 0.433)
Er (0.370, 0.937, 0.770)
Ni (0.250, 0.125, 0.375)
Er (0.600, 0.730, 0.667)
Er (0.563, 0.333, 0.933)
Er (0.333, 0.770, 0.400)
Er (0.870, 0.270, 0.437)
Er (0.270, 0.870, 0.937)
Er (0.933, 0.833, 0.563)
Er (0.067, 0.167, 0.437)
Er (0.437, 0.770, 0.870)
Ni (0.875, 0.125, 0.250)
Er (0.833, 0.900, 0.270)
Ni (0.875, 0.750, 0.125)
Zn (0.625, 0.750, 0.875)
Er (0.400, 0.270, 0.333)
Er (0.370, 0.433, 0.100)
Zn (0.000, 0.000, 0.500)
Ni (0.250, 0.625, 0.875)
Zn (0.250, 0.375, 0.625)
Er (0.770, 0.333, 0.900)
Er (0.730, 0.130, 0.063)
Zn (0.125, 0.375, 0.250)
Zn (0.875, 0.625, 0.750)
Ni (0.375, 0.750, 0.625)
Er (0.063, 0.433, 0.833)
Er (0.900, 0.067, 0.630)
Zn (0.000, 0.500, 0.000)
Er (0.567, 0.937, 0.667)
Er (0.563, 0.230, 0.130)
Er (0.333, 0.563, 0.433)

space group	Ia-3d
size of the total moment	0.0	Bohr magnetons per cell

Er2Zn5Ni: optimized geometry, PBE.

Lattice parameters (Å, degrees): 3.995 8.326 8.988 90.00 90.00 103.88
Atoms (fractional coordinates):
Zn (0.198, 0.397, 0.893)
Er (0.182, 0.364, 0.250)
Ni (0.448, 0.897, 0.750)
Zn (0.802, 0.603, 0.107)
Zn (0.361, 0.722, 0.524)
Er (0.000, 0.000, 0.500)
Er (0.000, 0.000, 0.000)
Zn (0.361, 0.722, 0.976)
Zn (0.639, 0.278, 0.024)
Zn (0.599, 0.199, 0.750)
Ni (0.552, 0.103, 0.250)
Zn (0.802, 0.603, 0.393)
Zn (0.401, 0.801, 0.250)
Er (0.818, 0.636, 0.750)
Zn (0.639, 0.278, 0.476)
Zn (0.198, 0.397, 0.607)

space group	Cmcm
size of the total moment	0.0	Bohr magnetons per cell

Er3Zn4Ni4: optimized geometry, PBE.

Lattice parameters (Å, degrees): 3.964 7.002 7.809 116.64 104.70 90.00
Atoms (fractional coordinates):
Ni (0.500, 0.174, 0.000)
Ni (0.220, 0.720, 0.440)
Zn (0.671, 0.479, 0.341)
Zn (0.329, 0.521, 0.659)
Zn (0.671, 0.862, 0.341)
Ni (0.780, 0.280, 0.560)
Er (0.127, 0.127, 0.253)
Zn (0.329, 0.138, 0.659)
Ni (0.500, 0.826, 0.000)
Er (0.873, 0.873, 0.747)
Er (0.000, 0.500, 0.000)

space group	Immm
size of the total moment	0.0	Bohr magnetons per cell

For reference, formation energy by record: -0.302; -0.295; -0.255; -0.243; -0.247; 0.220; -0.318; -0.411 eV/atom.